[1]
DFT (PBE) results for a relaxed BaAgAs2Se4 crystal.

The value obtained for the uncorrected formation energy is -3.82 eV per formula unit. The total energy comes out at -63.659 eV/cell.

It has space group I222 (No. 23), with a = 7.033 Å, b = 7.277 Å, c = 8.419 Å, α = 90.00°, β = 90.00° and γ = 90.00°. The inequivalent atoms are Ba at (0.000, 0.000, 0.000), Ag at (0.000, 0.000, 0.500), As at (0.000, 0.500, 0.307) and Se at (0.233, 0.193, 0.684).

[2]
DFT (PBE) results for a relaxed ReSiSb crystal.

The value obtained for the uncorrected formation energy is 1.71 eV per formula unit. The total energy comes out at -81.148 eV/cell.

It has space group Fmm2 (No. 42), with a = 3.283 Å, b = 5.017 Å, c = 13.528 Å, α = 90.00°, β = 90.00° and γ = 90.00°. The inequivalent atoms are Re at (0.000, 0.000, 0.000), Si at (0.000, 0.000, 0.370) and Sb at (0.000, 0.000, 0.669).

[3]
DFT (PBE) results for a relaxed Rb3PrEr2Te6 crystal.

The value obtained for the uncorrected formation energy is -16.56 eV per formula unit. The total energy comes out at -104.430 eV/cell.

It has space group C2/m (No. 12), with a = 7.896 Å, b = 13.678 Å, c = 8.955 Å, α = 90.00°, β = 107.12° and γ = 90.00°. The inequivalent atoms are Rb at (0.000, 0.000, 0.000), Rb at (0.000, 0.336, 0.000), Pr at (0.000, 0.500, 0.500), Er at (0.000, 0.167, 0.500), Te at (0.222, 0.000, 0.700) and Te at (0.239, 0.328, 0.701).

[4]
DFT (PBE) results for a relaxed ErCo5As3 crystal.

The total energy comes out at -231.365 eV/cell. Its formation energy is -0.4223 eV per atom.

It has space group Cmcm (No. 63), with a = 3.688 Å, b = 11.885 Å, c = 11.689 Å, α = 90.00°, β = 90.00° and γ = 90.00°. The inequivalent atoms are Er at (0.000, 0.152, 0.250), Co at (0.000, 0.000, 0.000), Co at (0.000, 0.195, 0.570), Co at (0.000, 0.449, 0.143), As at (0.000, 0.112, 0.750) and As at (0.000, 0.380, 0.545).

[5]
DFT (PBE) results for a relaxed NaZnHg2 crystal.

The total energy comes out at -3.478 eV/cell. Its formation energy is -0.0703 eV per atom.

It has space group P4/mmm (No. 123), with a = 4.718 Å, b = 4.718 Å, c = 4.054 Å, α = 90.00°, β = 90.00° and γ = 90.00°. The inequivalent atoms are Na at (0.000, 0.000, 0.000), Zn at (0.500, 0.500, 0.000) and Hg at (0.000, 0.500, 0.500).

[6]
DFT (PBE) results for a relaxed La5PmNd2Th crystal.

The total energy comes out at -175.717 eV/cell. Its formation energy is 0.2682 eV per atom.

It has space group I4/mcm (No. 140), with a = 9.156 Å, b = 9.156 Å, c = 15.256 Å, α = 90.00°, β = 90.00° and γ = 90.00°. The inequivalent atoms are La at (0.000, 0.000, 0.000), La at (0.210, 0.290, 0.146), Pm at (0.000, 0.500, 0.250), Nd at (0.115, 0.385, 0.500) and Th at (0.000, 0.000, 0.250).

[7]
DFT (PBE) results for a relaxed LiHgHRh2 crystal.

The total energy comes out at -20.079 eV/cell.

It has space group P4/mmm (No. 123), with a = 3.877 Å, b = 3.877 Å, c = 4.351 Å, α = 90.00°, β = 90.00° and γ = 90.00°. The inequivalent atoms are Li at (0.000, 0.000, 0.000), Hg at (0.500, 0.500, 0.000), H at (0.500, 0.500, 0.500) and Rh at (0.000, 0.500, 0.500).

[8]
DFT (PBE) results for a relaxed FeSbTe2I crystal.

The value obtained for the uncorrected formation energy is 5.64 eV per formula unit. The total energy comes out at -14.783 eV/cell.

It has space group P4/mmm (No. 123), with a = 5.889 Å, b = 5.889 Å, c = 4.595 Å, α = 90.00°, β = 90.00° and γ = 90.00°. The inequivalent atoms are Fe at (0.000, 0.000, 0.000), Sb at (0.500, 0.500, 0.000), Te at (0.000, 0.500, 0.500) and I at (0.000, 0.000, 0.500).

[9]
DFT (PBE) results for a relaxed YScCuRe2 crystal.

The total energy comes out at -32.225 eV/cell. Its formation energy is 1.9126 eV per atom.

It has space group P4/mmm (No. 123), with a = 4.622 Å, b = 4.622 Å, c = 5.184 Å, α = 90.00°, β = 90.00° and γ = 90.00°. The inequivalent atoms are Y at (0.000, 0.000, 0.000), Sc at (0.000, 0.000, 0.500), Cu at (0.500, 0.500, 0.000) and Re at (0.000, 0.500, 0.500).

[10]
DFT (PBE) results for a relaxed Li2HoErTl4 crystal.

The total energy comes out at -74.666 eV/cell. Its formation energy is -0.3069 eV per atom.

It has space group R-3m (No. 166, hexagonal axes), with a = 5.1730 Å, b = 5.1730 Å, c = 25.2339 Å, α = 90.00°, β = 90.00° and γ = 120.00°. The inequivalent atoms are Li at (0.0000, 0.0000, 0.2500), Ho at (0.0000, 0.0000, 0.0000), Er at (0.0000, 0.0000, 0.5000), Tl at (0.0000, 0.0000, 0.1253) and Tl at (0.0000, 0.0000, 0.3752).

[11]
DFT (PBE) results for a relaxed TbY2N2 crystal.

The value obtained for the uncorrected formation energy is -6.52 eV per formula unit. The total energy comes out at -162.914 eV/cell.

It has space group C2/m (No. 12), with a = 11.181 Å, b = 4.950 Å, c = 7.091 Å, α = 90.00°, β = 109.61° and γ = 90.00°. The inequivalent atoms are Tb at (0.157, 0.000, 0.093), Y at (0.007, 0.500, 0.734), Y at (0.163, 0.000, 0.573), N at (0.001, 0.000, 0.250) and N at (0.166, 0.500, 0.583).

[12]
DFT (PBE) results for a relaxed TlHPd2Pt crystal.

The total energy comes out at -22.066 eV/cell.

It has space group P4/mmm (No. 123), with a = 3.959 Å, b = 3.959 Å, c = 4.589 Å, α = 90.00°, β = 90.00° and γ = 90.00°. The inequivalent atoms are Tl at (0.000, 0.000, 0.000), H at (0.000, 0.000, 0.500), Pd at (0.000, 0.500, 0.500) and Pt at (0.500, 0.500, 0.000).